{
  "formula": "SrTb2Sc",
  "functional": "PBE-GGA",
  "state": "optimized geometry",
  "lattice_angstrom": [[3.5535, 0.0000, 0.0000], [-1.7768, 3.0775, 0.0000], [0.0000, 0.0000, 37.4518]],
  "species": ["Sr", "Sr", "Sr", "Tb", "Tb", "Tb", "Tb", "Tb", "Tb", "Sc", "Sc", "Sc"],
  "frac_coords": [[0.0000, 0.0000, 0.0000], [0.3333, 0.6667, 0.6667], [0.6667, 0.3333, 0.3333], [0.0000, 0.0000, 0.0958], [0.0000, 0.0000, 0.9042], [0.3333, 0.6667, 0.5709], [0.3333, 0.6667, 0.7625], [0.6667, 0.3333, 0.2375], [0.6667, 0.3333, 0.4291], [0.0000, 0.0000, 0.5000], [0.3333, 0.6667, 0.1667], [0.6667, 0.3333, 0.8333]],
  "de_polymorph_mev_per_atom": 144,
  "magnetic_moment_mub_per_cell": 0.00,
  "n_ef_per_ev_cell": 18.8,
  "formation_energy_ev_per_atom": 0.25
}


{
  "formula": "Sr3Tb3ScTe8",
  "functional": "PBE-GGA",
  "state": "optimized geometry",
  "lattice_angstrom": [[4.4241, 2.5543, 7.6514], [-4.4241, 2.5543, 7.6514], [0.0000, -5.1085, 7.6514]],
  "species": ["Sr", "Sr", "Sr", "Tb", "Tb", "Tb", "Sc", "Te", "Te", "Te", "Te", "Te", "Te", "Te", "Te"],
  "frac_coords": [[0.0000, 0.5000, 0.5000], [0.5000, 0.0000, 0.5000], [0.5000, 0.5000, 0.0000], [0.0000, 0.0000, 0.5000], [0.0000, 0.5000, 0.0000], [0.5000, 0.0000, 0.0000], [0.5000, 0.5000, 0.5000], [0.2442, 0.2442, 0.2442], [0.2489, 0.7377, 0.7377], [0.2623, 0.2623, 0.7511], [0.2623, 0.7511, 0.2623], [0.7377, 0.2489, 0.7377], [0.7377, 0.7377, 0.2489], [0.7511, 0.2623, 0.2623], [0.7558, 0.7558, 0.7558]],
  "magnetic_moment_mub_per_cell": 0.00,
  "n_ef_per_ev_cell": 4.6,
  "formation_energy_uncorrected_ev_per_fu": -22.30
}